This record from Alexandria describes YCd3In after structural relaxation. The functional is GGA-PBE.

Cell: 5.910 5.910 5.910 Å, 90.00 90.00 90.00°
Fractional positions:
Y (0.000, 0.000, 0.000)
Cd (0.000, 0.000, 0.500)
Cd (0.000, 0.500, 0.000)
Cd (0.500, 0.000, 0.000)
In (0.500, 0.500, 0.500)

Output
Space group = Pm-3m, No. 221
Energy above the lowest structure with this stoichiometry = 0.875 eV/atom
Formation energy from the elements = 0.6480 eV per atom

***

This record from Alexandria describes Y2RuRh after structural relaxation. The functional is GGA-PBE.

Cell: 8.379 8.379 8.379 Å, 23.90 23.90 23.90°
Fractional positions:
Y (0.249, 0.249, 0.249)
Y (0.751, 0.751, 0.751)
Ru (0.500, 0.500, 0.500)
Rh (0.000, 0.000, 0.000)

Output
Space group = R-3m, No. 166
Formation energy from the elements = -0.1979 eV per atom